1.
Entry from Alexandria via LeMat-Bulk: a relaxed structure of Ac12Ga6C (PBE).

## Properties
- calculated formation energy (eV per atom) = -0.24
- calculated total energy (eV per atom) = -4.2766
- total magnetic moment (μB/cell) = 0.0

Unit cell a=12.7317 b=12.7317 c=14.3285 alpha=90.00 beta=90.00 gamma=120.00
Space group R-3 (No. 148, hexagonal axes)
Unique sites:
Ac  0.0361  0.2006  0.3882 x18
Ac  0.0419  0.8517  0.8900 x18
Ga  0.0084  0.4024  0.2569 x18
C  0.0000  0.0000  0.0000 x3

---

2.
Entry from Alexandria via LeMat-Bulk: a relaxed structure of Ac2AsP (PBE).

## Properties
- calculated formation energy (eV per atom) = -1.47
- calculated total energy (eV per atom) = -6.0432
- total magnetic moment (μB/cell) = 0.0
- polymorph energy (0 for the lowest one) (eV per atom) = 0.0000

Unit cell a=4.5005 b=4.5005 c=22.0498 alpha=90.00 beta=90.00 gamma=120.00
Space group R-3m (No. 166, hexagonal axes)
Unique sites:
Ac  0.0000  0.0000  0.2481 x6
As  0.0000  0.0000  0.0000 x3
P  0.0000  0.0000  0.5000 x3

---

3.
Entry from Alexandria via LeMat-Bulk: a relaxed structure of SmPuTl2 (PBE).

## Properties
- calculated formation energy (eV per atom) = -0.17
- calculated total energy (eV per atom) = -6.1109
- total magnetic moment (μB/cell) = 6.3
- polymorph energy (0 for the lowest one) (eV per atom) = 0.0217

Unit cell a=5.0086 b=5.0086 c=4.4895 alpha=90.00 beta=90.00 gamma=90.00
Space group P4/mmm (No. 123)
Unique sites:
Sm  0.0000  0.0000  0.0000 x1
Pu  0.5000  0.5000  0.0000 x1
Tl  0.0000  0.5000  0.5000 x2